1:
LuBeFeSi, relaxed, DFT PBE; size of the total moment = 0.0040 μB per atom
1.0
-2.196 -2.733 2.429
0.184 0.302 4.250
-3.401 1.352 2.191
Be Fe Lu Si
1 1 1 1
direct
0.500 0.500 0.500 Be
0.750 0.750 0.750 Fe
0.250 0.250 0.250 Lu
0.000 0.000 0.000 Si

***

2:
LuBeFeSi, relaxed, DFT PBE; size of the total moment = 0.2298 μB per atom
1.0
-0.216 -4.129 0.890
-3.126 -2.350 -1.612
0.836 -2.858 -3.004
Be Fe Lu Si
1 1 1 1
direct
0.250 0.250 0.250 Be
0.750 0.750 0.750 Fe
0.500 0.500 0.500 Lu
0.000 0.000 0.000 Si

***

Least stable = 2

***

1:
LuBeFeSn, relaxed, DFT PBE; size of the total moment = 0.2998 μB per atom
1.0
0.000 3.187 3.187
3.187 0.000 3.187
3.187 3.187 0.000
Be Fe Lu Sn
1 1 1 1
direct
0.250 0.250 0.250 Be
0.750 0.750 0.750 Fe
0.500 0.500 0.500 Lu
0.000 0.000 0.000 Sn

***

2:
LuBeFeSn, relaxed, DFT PBE; size of the total moment = 0.3419 μB per atom
1.0
0.000 3.246 3.246
3.246 0.000 3.246
3.246 3.246 0.000
Be Fe Lu Sn
1 1 1 1
direct
0.500 0.500 0.500 Be
0.750 0.750 0.750 Fe
0.250 0.250 0.250 Lu
0.000 0.000 0.000 Sn

***

Least stable = 2